Record 1
# Y3TaI

An optimized crystal structure of Y3TaI (PBE, Alexandria via LeMat-Bulk).

Output
Calculated volume (Å³/f.u.): 166.9
Formation energy (no corrections) (eV per atom): 0.869
Space group: Pm-3m (221)
E_tot (eV for the cell shown): -28.45
Magnetization (μB/f.u.): 1.1

Lattice parameters (Å, degrees): 5.5058 5.5058 5.5058 90.00 90.00 90.00
Closest atoms and distances in Å follow each position.
Sites, in units of the cell vectors:
I 0.0000 0.0000 0.0000  6 Y 2.75
Y 0.0000 0.5000 0.0000  2 I 2.75
Y 0.0000 0.0000 0.5000  2 I 2.75
Y 0.5000 0.0000 0.0000  2 I 2.75
Ta 0.5000 0.5000 0.5000  12 Y 3.89

---

Record 2
# LiHo8C4

An optimized crystal structure of LiHo8C4 (PBE, Alexandria via LeMat-Bulk).

Output
Calculated volume (Å³/f.u.): 287.8
Calculated formation energy (eV per atom): -0.2094
Space group: C2/m (12)
E_tot (eV for the cell shown): -78.15
Magnetization (μB/f.u.): 0.0

Lattice parameters (Å, degrees): 3.5886 9.1213 9.1463 87.27 78.69 78.66
Closest atoms and distances in Å follow each position.
Sites, in units of the cell vectors:
Li 0.5154 0.0020 0.9671  8 Ho 3.56, 2 Li 3.59
Ho 0.1731 0.3012 0.3527  3 C 2.47-2.53
Ho 0.5590 0.6221 0.2600  3 C 2.47-2.53
Ho 0.4725 0.3813 0.6737  3 C 2.47-2.53
Ho 0.8585 0.7021 0.5810  3 C 2.47-2.53
Ho 0.8626 0.9665 0.3083  3 C 2.44-2.46
Ho 0.2068 0.6605 0.9259  3 C 2.45-2.47
Ho 0.1688 0.0368 0.6255  3 C 2.44-2.46
Ho 0.8246 0.3430 0.0077  3 C 2.45-2.47
C 0.3607 0.8344 0.4442  6 Ho 2.44-2.53
C 0.8397 0.5215 0.7992  6 Ho 2.45-2.53
C 0.1918 0.4819 0.1345  6 Ho 2.45-2.53
C 0.6708 0.1689 0.4895  6 Ho 2.44-2.53

---

Record 3
# Ac4GeP2Se

An optimized crystal structure of Ac4GeP2Se (PBE, Alexandria via LeMat-Bulk).

Output
Calculated volume (Å³/f.u.): 257.3
Formation energy (no corrections) (eV per atom): -1.419
Space group: P2/m (10)
E_tot (eV for the cell shown): -46.71
Magnetization (μB/f.u.): 0.0

Lattice parameters (Å, degrees): 4.4718 7.8185 7.7928 70.80 90.00 90.00
Closest atoms and distances in Å follow each position.
Sites, in units of the cell vectors:
Ac 0.0000 0.7616 0.7407  3 P 3.11-3.17, 1 Ge 3.20, 2 Se 3.25
Ac 0.0000 0.2384 0.2593  3 P 3.11-3.17, 1 Ge 3.20, 2 Se 3.25
Ac 0.5000 0.7584 0.2494  3 P 3.13-3.15, 2 Ge 3.21, 1 Se 3.23
Ac 0.5000 0.2416 0.7506  3 P 3.13-3.15, 2 Ge 3.21, 1 Se 3.23
Ge 0.0000 0.5000 0.5000  6 Ac 3.20-3.21
P 0.0000 0.0000 0.0000  6 Ac 3.15-3.17
P 0.5000 0.0000 0.5000  6 Ac 3.11-3.13
Se 0.5000 0.5000 0.0000  6 Ac 3.23-3.25

---

Record 4
# TiAg2Bi

An optimized crystal structure of TiAg2Bi (PBE, Alexandria via LeMat-Bulk).

Output
Calculated volume (Å³/f.u.): 80.2
Calculated formation energy (eV per atom): 0.0572
Space group: P4/mmm (123)
E_tot (eV for the cell shown): -17.25
Magnetization (μB/f.u.): 0.0

Lattice parameters (Å, degrees): 4.7095 4.1272 4.1272 90.00 90.00 90.00
Closest atoms and distances in Å follow each position.
Sites, in units of the cell vectors:
Bi 0.5000 0.0000 0.0000  4 Ti 2.92, 8 Ag 3.13
Ag 0.0000 0.0000 0.5000  4 Ag 2.92, 4 Ti 3.13, 4 Bi 3.13
Ag 0.0000 0.5000 0.0000  4 Ag 2.92, 4 Ti 3.13, 4 Bi 3.13
Ti 0.5000 0.5000 0.5000  4 Bi 2.92, 8 Ag 3.13